Entry 1:
PBE TaAs2PBr, optimized geometry; energy = -0.168 Ha/atom; energy relative to the lowest polymorph listed for this composition = 402 meV/atom; formation energy without anion corrections = 1.09 eV/atom
1.0
4.718 0.000 0.000
0.000 4.718 0.000
0.000 0.000 4.752
Ta As P Br
1 2 1 1
direct
0.000 0.000 0.000
0.000 0.500 0.500
0.500 0.000 0.500
0.500 0.500 0.500
0.500 0.500 0.000

---

Entry 2:
PBE Cs2BiPb7, optimized geometry; energy = -0.121 Ha/atom; formation energy = -0.13 eV per atom
1.0
5.415 0.000 0.000
0.000 5.415 0.000
0.000 0.000 13.690
Cs Bi Pb
2 1 7
direct
0.000 0.500 0.249
0.500 0.000 0.751
0.500 0.500 0.000
0.000 0.000 0.000
0.000 0.000 0.500
0.000 0.500 0.630
0.000 0.500 0.870
0.500 0.000 0.130
0.500 0.000 0.370
0.500 0.500 0.500